Compound: RbPO
Source: Alexandria
Functional: GGA-PBE
Structure: optimized geometry

Properties
Volume   234.5 Å³/cell
Density   3.751 Mg/m³
Formation energy from raw total energies   -747 meV per atom
Magnetization   0.0 μB per cell

Lattice parameters (Å, degrees): 13.1565 2.9965 6.1696 90.00 105.38 90.00
Space group C2/m (No. 12)
Asymmetric unit:
Rb1 0.0921 0.0000 0.3067 [4 per cell]
P1 0.1993 0.0000 0.8560 [4 per cell]
O1 0.1031 0.5000 0.8002 [4 per cell]